*i*
CrTcNiOsPd after structural relaxation. Source: the Alexandria database, functional PBE.

Values from the calculation:
The value obtained for the volume is 70.7 Å³/f.u. The magnetic moment is 0.8 μB per formula unit.

CIF file:
```
data_CrTcNiOsPd
_chemical_formula_sum 'Cr2 Tc2 Ni2 Os2 Pd2'
_space_group_name_H-M_alt 'P 1'
_space_group_IT_number 1
_cell_length_a 5.075
_cell_length_b 3.944
_cell_length_c 8.621
_cell_angle_alpha 90.00
_cell_angle_beta 124.93
_cell_angle_gamma 90.00
loop_
_space_group_symop_operation_xyz
'x,y,z'
loop_
_atom_site_label
_atom_site_fract_x
_atom_site_fract_y
_atom_site_fract_z
Tc1 0.015 0.000 0.946
Tc2 0.015 0.500 0.446
Cr1 0.866 0.000 0.578
Cr2 0.866 0.500 0.078
Ni1 0.575 0.000 0.020
Ni2 0.575 0.500 0.520
Os1 0.433 0.500 0.161
Os2 0.433 0.000 0.661
Pd1 0.222 0.500 0.803
Pd2 0.222 0.000 0.303
```

*ii*
CrTcNiOsPd after structural relaxation. Source: the Alexandria database, functional PBE.

Values from the calculation:
The value obtained for the volume is 70.5 Å³/f.u. The magnetic moment is 0.0 μB per formula unit.

CIF file:
```
data_CrTcNiOsPd
_chemical_formula_sum 'Cr2 Tc2 Ni2 Os2 Pd2'
_space_group_name_H-M_alt 'P 1'
_space_group_IT_number 1
_cell_length_a 5.011
_cell_length_b 3.948
_cell_length_c 8.617
_cell_angle_alpha 90.00
_cell_angle_beta 124.20
_cell_angle_gamma 90.00
loop_
_space_group_symop_operation_xyz
'x,y,z'
loop_
_atom_site_label
_atom_site_fract_x
_atom_site_fract_y
_atom_site_fract_z
Ni1 0.975 0.000 0.971
Ni2 0.975 0.500 0.471
Os1 0.532 0.000 0.036
Os2 0.532 0.500 0.536
Tc1 0.106 0.500 0.822
Tc2 0.106 0.000 0.322
Pd1 0.334 0.000 0.681
Pd2 0.334 0.500 0.181
Cr1 0.678 0.500 0.905
Cr2 0.678 0.000 0.405
```

*iii*
CrTcNiOsPd after structural relaxation. Source: the Alexandria database, functional PBE.

Values from the calculation:
The value obtained for the volume is 67.1 Å³/f.u. The magnetic moment is 0.0 μB per formula unit.

CIF file:
```
data_CrTcNiOsPd
_chemical_formula_sum 'Cr1 Tc1 Ni1 Os1 Pd1'
_space_group_name_H-M_alt 'P 1'
_space_group_IT_number 1
_cell_length_a 2.664
_cell_length_b 4.640
_cell_length_c 5.937
_cell_angle_alpha 98.25
_cell_angle_beta 102.48
_cell_angle_gamma 106.39
loop_
_space_group_symop_operation_xyz
'x,y,z'
loop_
_atom_site_label
_atom_site_fract_x
_atom_site_fract_y
_atom_site_fract_z
Tc1 0.530 0.819 0.769
Cr1 0.695 0.614 0.380
Ni1 0.126 0.228 0.585
Pd1 0.333 0.028 0.202
Os1 0.918 0.422 0.970
```

Stability check: which of them is least stable? *i*.

*i*
CrTcNiOsPd after structural relaxation. Source: the Alexandria database, functional PBE.

Values from the calculation:
The value obtained for the volume is 67.7 Å³/f.u. The magnetic moment is 1.1 μB per formula unit.

CIF file:
```
data_CrTcNiOsPd
_chemical_formula_sum 'Cr1 Tc1 Ni1 Os1 Pd1'
_space_group_name_H-M_alt 'P 1'
_space_group_IT_number 1
_cell_length_a 2.707
_cell_length_b 4.611
_cell_length_c 5.945
_cell_angle_alpha 96.94
_cell_angle_beta 103.14
_cell_angle_gamma 107.03
loop_
_space_group_symop_operation_xyz
'x,y,z'
loop_
_atom_site_label
_atom_site_fract_x
_atom_site_fract_y
_atom_site_fract_z
Cr1 0.468 0.258 0.700
Tc1 0.656 0.066 0.273
Os1 0.863 0.869 0.883
Pd1 0.048 0.651 0.471
Ni1 0.254 0.460 0.072
```

*ii*
CrTcNiOsPd after structural relaxation. Source: the Alexandria database, functional PBE.

Values from the calculation:
The value obtained for the volume is 67.5 Å³/f.u. The magnetic moment is 0.0 μB per formula unit.

CIF file:
```
data_CrTcNiOsPd
_chemical_formula_sum 'Cr2 Tc2 Ni2 Os2 Pd2'
_space_group_name_H-M_alt 'P 1'
_space_group_IT_number 1
_cell_length_a 6.558
_cell_length_b 2.699
_cell_length_c 8.962
_cell_angle_alpha 90.00
_cell_angle_beta 121.74
_cell_angle_gamma 90.00
loop_
_space_group_symop_operation_xyz
'x,y,z'
loop_
_atom_site_label
_atom_site_fract_x
_atom_site_fract_y
_atom_site_fract_z
Pd1 0.773 0.000 0.230
Pd2 0.773 0.500 0.730
Os1 0.538 0.500 0.912
Os2 0.538 0.000 0.412
Tc1 0.336 0.500 0.109
Tc2 0.336 0.000 0.609
Ni1 0.959 0.500 0.531
Ni2 0.959 0.000 0.031
Cr1 0.171 0.000 0.814
Cr2 0.171 0.500 0.314
```

*iii*
CrTcNiOsPd after structural relaxation. Source: the Alexandria database, functional PBE.

Values from the calculation:
The value obtained for the volume is 68.8 Å³/f.u. The magnetic moment is 0.0 μB per formula unit.

CIF file:
```
data_CrTcNiOsPd
_chemical_formula_sum 'Cr2 Tc2 Ni2 Os2 Pd2'
_space_group_name_H-M_alt 'P 1'
_space_group_IT_number 1
_cell_length_a 5.935
_cell_length_b 2.765
_cell_length_c 8.657
_cell_angle_alpha 90.00
_cell_angle_beta 104.38
_cell_angle_gamma 90.00
loop_
_space_group_symop_operation_xyz
'x,y,z'
loop_
_atom_site_label
_atom_site_fract_x
_atom_site_fract_y
_atom_site_fract_z
Os1 0.110 0.000 0.377
Os2 0.110 0.500 0.877
Tc1 0.901 0.000 0.066
Tc2 0.901 0.500 0.566
Cr1 0.563 0.000 0.444
Cr2 0.563 0.500 0.944
Pd1 0.368 0.500 0.641
Pd2 0.368 0.000 0.141
Ni1 0.739 0.500 0.263
Ni2 0.739 0.000 0.763
```

Stability check: which of them is least stable? *iii*.